1.
Entry from Alexandria: an optimized crystal structure of CdReNi2 (PBE).

Results
The value obtained for the total energy is -5.99 eV/atom. The value obtained for the magnetization is 0.1 μB/f.u. The energy relative to the elements is 0.24 eV/atom.

Cell and atoms, written as POSCAR:
```
CdReNi2
1.0
-1.955 -1.730 -0.787
1.183 -0.224 -2.447
4.122 -5.809 2.526
Cd Re Ni
1 1 2
Direct
0.500 0.500 0.769
0.000 0.000 0.460
0.000 0.000 0.031
0.500 0.500 0.240
```


2.
Entry from Alexandria: an optimized crystal structure of Ca6TbCd2 (PBE).

Results
The value obtained for the total energy is -2.16 eV/atom. The value obtained for the magnetization is 0.0 μB/f.u. The energy relative to the elements is -0.11 eV/atom.

Cell and atoms, written as POSCAR:
```
Ca6TbCd2
1.0
-3.305 -0.871 1.806
1.794 -1.896 6.506
-1.418 10.463 6.591
Ca Cd Tb
6 2 1
Direct
0.326 0.756 0.593
0.040 0.239 0.681
0.323 0.473 0.881
0.960 0.761 0.319
0.677 0.527 0.119
0.674 0.244 0.407
0.659 0.873 0.810
0.341 0.127 0.190
0.000 0.000 0.000
```


3.
Entry from Alexandria: an optimized crystal structure of IrOsRu2 (PBE).

Results
Its energy above the lowest structure with this stoichiometry is 0.20 eV per formula unit. The value obtained for the total energy is -9.62 eV/atom. The value obtained for the magnetization is 0.0 μB/f.u. The energy relative to the elements is 0.04 eV/atom.

Cell and atoms, written as POSCAR:
```
IrOsRu2
1.0
-0.463 0.772 2.559
-3.792 -0.051 -0.671
-0.201 -5.196 1.531
Ru Os Ir
2 1 1
Direct
0.000 0.000 0.000
0.500 0.500 0.247
0.500 0.500 0.753
0.000 0.000 0.500
```


4.
Entry from Alexandria: an optimized crystal structure of Ba2GaCSe (PBE).

Results
As for the uncorrected formation energy: 0.76 eV/atom. The value obtained for the total energy is -3.16 eV/atom. The value obtained for the magnetization is 2.3 μB/f.u.

Cell and atoms, written as POSCAR:
```
Ba2GaCSe
1.0
6.182 0.000 0.000
0.000 4.983 0.000
0.000 0.000 6.182
Se Ba C Ga
1 2 1 1
Direct
0.000 0.500 0.000
0.500 0.000 0.000
0.000 0.000 0.500
0.500 0.500 0.500
0.000 0.000 0.000
```